#A
Entry from Alexandria via LeMat-Bulk: crystalline Nd2YO at its relaxed geometry (PBE).

```
data_Nd2YO
_space_group_name_H-M_alt 'P 1'
_space_group_IT_number 1
_cell_length_a 3.267
_cell_length_b 3.267
_cell_length_c 9.123
_cell_angle_alpha 90.00
_cell_angle_beta 90.00
_cell_angle_gamma 90.00
loop_
_space_group_symop_operation_xyz
'x,y,z'
loop_
_atom_site_label
_atom_site_type_symbol
_atom_site_fract_x
_atom_site_fract_y
_atom_site_fract_z
Nd1 Nd 0.000 0.000 0.171
Nd2 Nd 0.000 0.000 0.829
Y1 Y 0.500 0.500 0.500
O1 O 0.500 0.500 0.000
```

Results
* total magnetic moment: 0.0 μB per cell
* space group: No. 123

#B
Entry from Alexandria via LeMat-Bulk: crystalline Nd2YO at its relaxed geometry (PBE).

```
data_Nd2YO
_space_group_name_H-M_alt 'P 1'
_space_group_IT_number 1
_cell_length_a 9.547
_cell_length_b 9.547
_cell_length_c 9.547
_cell_angle_alpha 22.02
_cell_angle_beta 22.02
_cell_angle_gamma 22.02
loop_
_space_group_symop_operation_xyz
'x,y,z'
loop_
_atom_site_label
_atom_site_type_symbol
_atom_site_fract_x
_atom_site_fract_y
_atom_site_fract_z
Nd1 Nd 0.118 0.118 0.118
Nd2 Nd 0.882 0.882 0.882
Y1 Y 0.000 0.000 0.000
O1 O 0.500 0.500 0.500
```

Results
* total magnetic moment: 0.0 μB per cell
* space group: No. 166

Most stable to least stable, the ends of the list are #B and #A.

#A
Entry from Alexandria via LeMat-Bulk: crystalline NdY3O at its relaxed geometry (PBE).

```
data_NdY3O
_space_group_name_H-M_alt 'P 1'
_space_group_IT_number 1
_cell_length_a 7.097
_cell_length_b 6.497
_cell_length_c 5.682
_cell_angle_alpha 90.00
_cell_angle_beta 90.00
_cell_angle_gamma 90.00
loop_
_space_group_symop_operation_xyz
'x,y,z'
loop_
_atom_site_label
_atom_site_type_symbol
_atom_site_fract_x
_atom_site_fract_y
_atom_site_fract_z
Nd1 Nd 0.000 0.165 0.000
Nd2 Nd 0.500 0.835 0.500
Y1 Y 0.000 0.825 0.484
Y2 Y 0.249 0.632 0.995
Y3 Y 0.251 0.368 0.495
Y4 Y 0.500 0.175 0.984
Y5 Y 0.749 0.368 0.495
Y6 Y 0.751 0.632 0.995
O1 O 0.000 0.505 0.250
O2 O 0.500 0.495 0.750
```

Results
* total magnetic moment: 0.0 μB per cell
* space group: No. 31

#B
Entry from Alexandria via LeMat-Bulk: crystalline NdY3O at its relaxed geometry (PBE).

```
data_NdY3O
_space_group_name_H-M_alt 'P 1'
_space_group_IT_number 1
_cell_length_a 4.997
_cell_length_b 4.997
_cell_length_c 4.997
_cell_angle_alpha 90.00
_cell_angle_beta 90.00
_cell_angle_gamma 90.00
loop_
_space_group_symop_operation_xyz
'x,y,z'
loop_
_atom_site_label
_atom_site_type_symbol
_atom_site_fract_x
_atom_site_fract_y
_atom_site_fract_z
Nd1 Nd 0.000 0.000 0.000
Y1 Y 0.000 0.500 0.500
Y2 Y 0.500 0.000 0.500
Y3 Y 0.500 0.500 0.000
O1 O 0.500 0.500 0.500
```

Results
* total magnetic moment: 0.0 μB per cell
* space group: No. 221

Most stable to least stable, the ends of the list are #A and #B.

#A
Entry from Alexandria via LeMat-Bulk: crystalline NdY2O at its relaxed geometry (PBE).

```
data_NdY2O
_space_group_name_H-M_alt 'P 1'
_space_group_IT_number 1
_cell_length_a 9.123
_cell_length_b 9.123
_cell_length_c 9.123
_cell_angle_alpha 22.36
_cell_angle_beta 22.36
_cell_angle_gamma 22.36
loop_
_space_group_symop_operation_xyz
'x,y,z'
loop_
_atom_site_label
_atom_site_type_symbol
_atom_site_fract_x
_atom_site_fract_y
_atom_site_fract_z
Nd1 Nd 0.000 0.000 0.000
Y1 Y 0.218 0.218 0.218
Y2 Y 0.782 0.782 0.782
O1 O 0.500 0.500 0.500
```

Results
* total magnetic moment: 0.0 μB per cell
* space group: No. 166

#B
Entry from Alexandria via LeMat-Bulk: crystalline NdY2O at its relaxed geometry (PBE).

```
data_NdY2O
_space_group_name_H-M_alt 'P 1'
_space_group_IT_number 1
_cell_length_a 3.206
_cell_length_b 3.206
_cell_length_c 8.925
_cell_angle_alpha 90.00
_cell_angle_beta 90.00
_cell_angle_gamma 90.00
loop_
_space_group_symop_operation_xyz
'x,y,z'
loop_
_atom_site_label
_atom_site_type_symbol
_atom_site_fract_x
_atom_site_fract_y
_atom_site_fract_z
Nd1 Nd 0.000 0.000 0.000
Y1 Y 0.500 0.500 0.327
Y2 Y 0.500 0.500 0.673
O1 O 0.000 0.000 0.500
```

Results
* total magnetic moment: 0.0 μB per cell
* space group: No. 123

Most stable to least stable, the ends of the list are #A and #B.